[1]
GGA-PBE PaTi2Tc, relaxed; E above lowest polymorph = 0 meV/atom; ΔH_f (0 K) = -0.203 eV per atom; density = 9596 kg/m³; electronic total energy = -0.670 Ry per atom
1.0
3.105 0.000 0.000
0.000 3.105 0.000
0.000 0.000 7.624
Pa Ti Tc
1 2 1
Cartesian
0.000 0.000 0.000
1.552 1.552 2.331
1.552 1.552 5.294
0.000 0.000 3.812

---

[2]
GGA-PBE Mn2TcCl, relaxed; E above lowest polymorph = 174 meV/atom; formation energy from raw total energies = 0.258 eV per atom; density = 6776 kg/m³; electronic total energy = -0.542 Ry per atom
1.0
2.909 0.000 0.000
0.000 2.909 0.000
0.000 0.000 7.048
Mn Tc Cl
2 1 1
Cartesian
0.000 0.000 0.000
1.454 1.454 1.705
0.000 0.000 3.005
1.454 1.454 5.209

---

[3]
GGA-PBE Co2IrPd, relaxed; ΔH_f (0 K) = 0.079 eV per atom; density = 13156 kg/m³; electronic total energy = -0.514 Ry per atom
1.0
2.677 0.000 0.000
0.000 2.677 0.000
0.000 0.000 7.336
Co Ir Pd
2 1 1
Cartesian
0.000 0.000 1.794
0.000 0.000 5.542
1.338 1.338 0.000
1.338 1.338 3.668

---

- Which of these has the lowest electronic total energy?
  PaTi2Tc

---

- What is the formula in the first record?
  PaTi2Tc

---

- Among the records above, which one has the highest electronic total energy?
  Co2IrPd